[1]
{"formula": "MgMnHg2", "functional": "GGA-PBE", "state": "optimized geometry", "lattice": [[-0.4942, -1.3106, -4.1389], [0.9959, -4.0887, 1.1758], [-9.0238, -4.4782, 0.1892]], "species": ["Mg", "Mg", "Mn", "Mn", "Hg", "Hg", "Hg", "Hg"], "fractional_positions": [[0.5000, 0.5000, 0.0000], [0.2500, 0.7500, 0.5000], [0.0000, 0.0000, 0.0000], [0.7500, 0.2500, 0.5000], [0.6327, 0.1250, 0.2500], [0.1173, 0.6250, 0.2500], [0.3750, 0.3673, 0.7500], [0.8750, 0.8827, 0.7500]], "ef_ev_per_atom": 0.290, "magmom_total_mub_per_fu": 4.02}



[2]
{"formula": "PmTh2Co2", "functional": "GGA-PBE", "state": "optimized geometry", "lattice": [[6.4622, -0.0103, -0.0697], [3.2270, 5.9454, 1.0107], [3.1409, 0.9378, 6.5221]], "species": ["Pm", "Pm", "Th", "Th", "Th", "Th", "Co", "Co", "Co", "Co"], "fractional_positions": [[0.8960, 0.7587, 0.2196], [0.1040, 0.2413, 0.7804], [0.5908, 0.4104, 0.2408], [0.7711, 0.8868, 0.7080], [0.2289, 0.1132, 0.2920], [0.4092, 0.5896, 0.7592], [0.3842, 0.8296, 0.0374], [0.8122, 0.3110, 0.5348], [0.6158, 0.1704, 0.9626], [0.1878, 0.6890, 0.4652]], "ef_ev_per_atom": -0.157, "magmom_total_mub_per_fu": 0.00}



[3]
{"formula": "ZrRuAu2", "functional": "GGA-PBE", "state": "optimized geometry", "lattice": [[-3.2418, 2.5402, 2.8742], [-3.1151, -1.5375, 3.6271], [1.3500, 0.7523, 3.8475]], "species": ["Au", "Au", "Ru", "Zr"], "fractional_positions": [[0.0000, 0.0000, 0.0000], [0.7500, 0.7500, 0.7500], [0.5000, 0.5000, 0.5000], [0.2500, 0.2500, 0.2500]], "ef_ev_per_atom": -0.315, "relative_energy_ev_per_atom": 0.059, "magmom_total_mub_per_fu": 0.00}



[4]
{"formula": "KCa3Au", "functional": "GGA-PBE", "state": "optimized geometry", "lattice": [[-0.0656, -1.5932, -6.2673], [3.8602, -5.0382, 1.2403], [-5.1882, -3.7284, 1.0021]], "species": ["Ca", "Ca", "Ca", "Au", "K"], "fractional_positions": [[0.0000, 0.5000, 0.0000], [0.0000, 0.0000, 0.5000], [0.5000, 0.0000, 0.0000], [0.5000, 0.5000, 0.5000], [0.0000, 0.0000, 0.0000]], "ef_ev_per_atom": 1.001, "relative_energy_ev_per_atom": 1.292, "magmom_total_mub_per_fu": 0.00}



[5]
{"formula": "CaNpSeO2", "functional": "GGA-PBE", "state": "optimized geometry", "lattice": [[-3.3301, -0.4041, 1.8633], [1.4858, -2.9001, 2.0265], [2.8253, 5.6025, 2.3132]], "species": ["Ca", "Np", "Se", "O", "O"], "fractional_positions": [[0.8502, 0.8502, 0.7005], [0.1567, 0.1567, 0.3135], [0.5075, 0.5075, 0.0150], [0.7428, 0.2428, 0.4855], [0.2428, 0.7428, 0.4855]], "dft_energy_ev_per_atom": -8.20, "magmom_total_mub_per_fu": 3.00}



[6]
{"formula": "AlIn2HgS", "functional": "GGA-PBE", "state": "optimized geometry", "lattice": [[5.4174, 0.0000, 0.0000], [0.0000, 4.9579, 0.0000], [0.0000, 0.0000, 5.4174]], "species": ["S", "Al", "Hg", "In", "In"], "fractional_positions": [[0.5000, 0.5000, 0.5000], [0.0000, 0.5000, 0.0000], [0.0000, 0.0000, 0.0000], [0.0000, 0.0000, 0.5000], [0.5000, 0.0000, 0.0000]], "dft_energy_ev_per_atom": -2.31, "magmom_total_mub_per_fu": 0.00}



[7]
{"formula": "Np2PaFeN4", "functional": "GGA-PBE", "state": "optimized geometry", "lattice": [[3.3415, 0.0000, 0.0000], [-1.6707, 5.6168, 0.0000], [0.0000, 0.0000, 11.3634]], "species": ["Np", "Np", "Np", "Np", "Pa", "Pa", "Fe", "Fe", "N", "N", "N", "N", "N", "N", "N", "N"], "fractional_positions": [[0.3680, 0.7361, 0.5582], [0.6320, 0.2639, 0.0582], [0.6320, 0.2639, 0.4418], [0.3680, 0.7361, 0.9418], [0.1103, 0.2205, 0.7500], [0.8897, 0.7795, 0.2500], [0.8487, 0.6973, 0.7500], [0.1513, 0.3027, 0.2500], [0.2775, 0.5550, 0.1260], [0.7225, 0.4450, 0.6260], [0.7225, 0.4450, 0.8740], [0.2775, 0.5550, 0.3740], [0.0000, 0.0000, 0.5000], [0.0000, 0.0000, 0.0000], [0.4597, 0.9194, 0.7500], [0.5403, 0.0806, 0.2500]], "dft_energy_ev_per_atom": -10.71, "magmom_total_mub_per_fu": 4.69}



[8]
{"formula": "K2Li2PrCl6", "functional": "GGA-PBE", "state": "optimized geometry", "lattice": [[-2.0199, -6.5886, 1.0512], [3.2229, 3.5113, 5.0871], [-6.4633, 2.3734, 2.4565]], "species": ["K", "K", "Li", "Li", "Pr", "Cl", "Cl", "Cl", "Cl", "Cl", "Cl"], "fractional_positions": [[0.6667, 0.3333, 0.5003], [0.3333, 0.6667, 0.4997], [0.3333, 0.6667, 0.9994], [0.6667, 0.3333, 0.0006], [0.0000, 0.0000, 0.0000], [0.0002, 0.3620, 0.8043], [0.6380, 0.6382, 0.8043], [0.3618, 0.9998, 0.8043], [0.9998, 0.6380, 0.1957], [0.3620, 0.3618, 0.1957], [0.6382, 0.0002, 0.1957]], "dft_energy_ev_per_atom": -3.80, "magmom_total_mub_per_fu": 1.02}



[9]
{"formula": "Al2TlRu", "functional": "GGA-PBE", "state": "optimized geometry", "lattice": [[-0.4412, -3.6789, -2.6345], [0.1940, -2.6599, 3.6819], [-3.2337, 0.1752, 0.2969]], "species": ["Ru", "Tl", "Al", "Al"], "fractional_positions": [[0.5000, 0.0000, 0.5000], [0.0000, 0.5000, 0.5000], [0.0000, 0.0000, 0.0000], [0.5000, 0.5000, 0.0000]], "ef_ev_per_atom": 0.188, "relative_energy_ev_per_atom": 0.426, "magmom_total_mub_per_fu": 0.00}



[10]
{"formula": "NaZnCdAu", "functional": "GGA-PBE", "state": "optimized geometry", "lattice": [[4.6180, 0.0000, 0.0000], [2.3090, 3.9993, 0.0000], [2.3090, 1.3331, 4.4925]], "species": ["Na", "Zn", "Cd", "Au"], "fractional_positions": [[0.8163, 0.8163, 0.5512], [0.5952, 0.5952, 0.2145], [0.0409, 0.0409, 0.8773], [0.2736, 0.2736, 0.1793]], "ef_ev_per_atom": -0.168, "magmom_total_mub_per_fu": 0.00}



[11]
{"formula": "PuAg2Au", "functional": "GGA-PBE", "state": "optimized geometry", "lattice": [[5.3686, 0.2054, 0.0000], [2.2865, 4.8082, 0.0000], [2.6843, 0.1027, 6.9920]], "species": ["Pu", "Pu", "Ag", "Ag", "Ag", "Ag", "Au", "Au"], "fractional_positions": [[0.8650, 0.2500, 0.2700], [0.1350, 0.7500, 0.7300], [0.2431, 0.6054, 0.1483], [0.6086, 0.8946, 0.1483], [0.7569, 0.3946, 0.8517], [0.3914, 0.1054, 0.8517], [0.2514, 0.2500, 0.4972], [0.7486, 0.7500, 0.5028]], "ef_ev_per_atom": -0.093, "relative_energy_ev_per_atom": 0.000, "magmom_total_mub_per_fu": 5.83}



[12]
{"formula": "In2HgO2", "functional": "GGA-PBE", "state": "optimized geometry", "lattice": [[4.0388, 0.0000, 0.0000], [0.0000, 4.0388, 0.0000], [2.0194, 2.0194, 5.2867]], "species": ["Hg", "O", "O", "In", "In"], "fractional_positions": [[0.0000, 0.0000, 0.0000], [0.7500, 0.2500, 0.5000], [0.2500, 0.7500, 0.5000], [0.3467, 0.3467, 0.3067], [0.6533, 0.6533, 0.6933]], "relative_energy_ev_per_atom": 0.000, "magmom_total_mub_per_fu": 0.00}



[13]
{"formula": "Tb2PmY6Tm", "functional": "GGA-PBE", "state": "optimized geometry", "lattice": [[9.1781, -2.0071, -2.0829], [0.7460, 8.5301, -1.9779], [0.7460, -2.2927, 8.4509]], "species": ["Tb", "Tb", "Tb", "Tb", "Pm", "Pm", "Y", "Y", "Y", "Y", "Y", "Y", "Y", "Y", "Y", "Y", "Y", "Y", "Tm", "Tm"], "fractional_positions": [[0.4532, 0.8020, 0.6997], [0.0468, 0.3003, 0.1980], [0.5468, 0.1980, 0.3003], [0.9532, 0.6997, 0.8020], [0.2500, 0.9768, 0.0232], [0.7500, 0.0232, 0.9768], [0.0568, 0.1227, 0.7502], [0.4432, 0.2498, 0.8773], [0.9432, 0.8773, 0.2498], [0.5568, 0.7502, 0.1227], [0.3156, 0.9853, 0.4320], [0.1844, 0.5680, 0.0147], [0.6844, 0.0147, 0.5680], [0.8156, 0.4320, 0.9853], [0.1172, 0.7064, 0.4924], [0.3828, 0.5076, 0.2936], [0.8828, 0.2936, 0.5076], [0.6172, 0.4924, 0.7064], [0.2500, 0.4092, 0.5908], [0.7500, 0.5908, 0.4092]], "ef_ev_per_atom": 0.116, "magmom_total_mub_per_fu": 0.00}



[14]
{"formula": "SnSb12Rh4", "functional": "GGA-PBE", "state": "optimized geometry", "lattice": [[7.6946, 0.0000, -2.7204], [-3.8473, 6.6637, -2.7204], [0.0000, 0.0000, 8.1613]], "species": ["Sn", "Sb", "Sb", "Sb", "Sb", "Sb", "Sb", "Sb", "Sb", "Sb", "Sb", "Sb", "Sb", "Rh", "Rh", "Rh", "Rh"], "fractional_positions": [[0.0000, 0.0000, 0.0000], [0.8455, 0.3372, 0.1827], [0.3372, 0.4917, 0.1545], [0.8173, 0.1545, 0.6628], [0.3372, 0.1827, 0.8455], [0.1827, 0.8455, 0.3372], [0.6628, 0.5083, 0.8455], [0.4917, 0.1545, 0.3372], [0.5083, 0.8455, 0.6628], [0.6628, 0.8173, 0.1545], [0.8455, 0.6628, 0.5083], [0.1545, 0.3372, 0.4917], [0.1545, 0.6628, 0.8173], [0.0000, 0.5000, 0.0000], [0.5000, 0.0000, 0.0000], [0.5000, 0.5000, 0.5000], [0.0000, 0.0000, 0.5000]], "dft_energy_ev_per_atom": -5.20, "magmom_total_mub_per_fu": 0.00}



[15]
{"formula": "Hf2BeSi", "functional": "GGA-PBE", "state": "optimized geometry", "lattice": [[-2.4250, 2.1242, 1.5626], [-3.0893, -4.1269, 0.8161], [4.6683, 1.0692, 5.7911]], "species": ["Hf", "Hf", "Hf", "Hf", "Be", "Be", "Si", "Si"], "fractional_positions": [[0.7500, 0.2063, 0.4318], [0.2500, 0.7937, 0.5682], [0.2500, 0.7893, 0.0774], [0.7500, 0.2107, 0.9226], [0.7500, 0.6388, 0.2843], [0.2500, 0.3612, 0.7157], [0.2500, 0.3604, 0.2153], [0.7500, 0.6396, 0.7847]], "relative_energy_ev_per_atom": 0.000, "magmom_total_mub_per_fu": 0.00}



[16]
{"formula": "La12Y6Pu", "functional": "GGA-PBE", "state": "optimized geometry", "lattice": [[-7.7324, 5.0788, 2.9150], [-1.7839, -4.4676, -8.4226], [2.6912, -6.3846, 6.7879]], "species": ["La", "La", "La", "La", "La", "La", "La", "La", "La", "La", "La", "La", "Y", "Y", "Y", "Y", "Y", "Y", "Pu"], "fractional_positions": [[0.3704, 0.0543, 0.5812], [0.0543, 0.5812, 0.3704], [0.5812, 0.3704, 0.0543], [0.6296, 0.9457, 0.4188], [0.9457, 0.4188, 0.6296], [0.4188, 0.6296, 0.9457], [0.1024, 0.1547, 0.7414], [0.2586, 0.8976, 0.8453], [0.8453, 0.2586, 0.8976], [0.8976, 0.8453, 0.2586], [0.7414, 0.1024, 0.1547], [0.1547, 0.7414, 0.1024], [0.2138, 0.3159, 0.4690], [0.6841, 0.5310, 0.7862], [0.5310, 0.7862, 0.6841], [0.7862, 0.6841, 0.5310], [0.3159, 0.4690, 0.2138], [0.4690, 0.2138, 0.3159], [0.0000, 0.0000, 0.0000]], "ef_ev_per_atom": 0.040, "magmom_total_mub_per_fu": 7.80}



[17]
{"formula": "TbPr3NdDy", "functional": "GGA-PBE", "state": "optimized geometry", "lattice": [[5.1665, 0.0000, 0.0000], [-2.5832, 7.7750, 0.0000], [0.0000, 0.0000, 10.3148]], "species": ["Tb", "Tb", "Pr", "Pr", "Pr", "Pr", "Pr", "Pr", "Nd", "Nd", "Dy", "Dy"], "fractional_positions": [[0.8351, 0.6701, 0.7500], [0.1649, 0.3299, 0.2500], [0.6659, 0.3319, 0.4992], [0.3341, 0.6681, 0.5008], [0.3341, 0.6681, 0.9992], [0.6659, 0.3319, 0.0008], [0.1665, 0.3330, 0.7500], [0.8335, 0.6670, 0.2500], [0.0000, 0.0000, 0.5000], [0.0000, 0.0000, 0.0000], [0.4988, 0.9977, 0.7500], [0.5012, 0.0023, 0.2500]], "ef_ev_per_atom": 0.016, "magmom_total_mub_per_fu": 0.00}



[18]
{"formula": "KGeRhN2", "functional": "GGA-PBE", "state": "optimized geometry", "lattice": [[3.8429, 0.0000, 0.0000], [0.0000, 3.8429, 0.0000], [0.0000, 0.0000, 6.2109]], "species": ["Ge", "Rh", "K", "N", "N"], "fractional_positions": [[0.0000, 0.0000, 0.0000], [0.5000, 0.5000, 0.5000], [0.0000, 0.0000, 0.5000], [0.0000, 0.5000, 0.0000], [0.5000, 0.0000, 0.0000]], "dft_energy_ev_per_atom": -4.14, "magmom_total_mub_per_fu": 1.60}



[19]
{"formula": "Al2Zn3Ga3", "functional": "GGA-PBE", "state": "optimized geometry", "lattice": [[-0.3349, -0.8572, 3.7908], [0.0589, -4.0972, -0.9044], [8.0761, -2.1017, 1.9440]], "species": ["Al", "Al", "Zn", "Zn", "Zn", "Ga", "Ga", "Ga"], "fractional_positions": [[0.7498, 0.7480, 0.5002], [0.2502, 0.2520, 0.4998], [0.8579, 0.3352, 0.2557], [0.1421, 0.6648, 0.7443], [0.0000, 0.0000, 0.0000], [0.3607, 0.8449, 0.2506], [0.5000, 0.5000, 0.0000], [0.6393, 0.1551, 0.7494]], "ef_ev_per_atom": 0.039, "relative_energy_ev_per_atom": 0.000, "magmom_total_mub_per_fu": 0.00}



[20]
{"formula": "AsPb4Au5", "functional": "GGA-PBE", "state": "optimized geometry", "lattice": [[4.8152, 0.0000, 1.7082], [2.4076, 6.8522, 0.8541], [0.1166, 0.0000, 7.3120]], "species": ["As", "Pb", "Pb", "Pb", "Pb", "Au", "Au", "Au", "Au", "Au"], "fractional_positions": [[0.1590, 0.0000, 0.0000], [0.7651, 0.6940, 0.6940], [0.4591, 0.3060, 0.6940], [0.4592, 0.6940, 0.3060], [0.1532, 0.3060, 0.3060], [0.1465, 0.6273, 0.0000], [0.1465, 0.0000, 0.6273], [0.7738, 0.0000, 0.3727], [0.7738, 0.3727, 0.0000], [0.6535, 0.0000, 0.0000]], "ef_ev_per_atom": 0.024, "magmom_total_mub_per_fu": 0.00}



[21]
{"formula": "LaZrSe2N", "functional": "GGA-PBE", "state": "optimized geometry", "lattice": [[-2.6197, -4.6885, 1.8397], [2.0486, -2.8863, -4.4387], [3.3042, -0.9941, 2.1714]], "species": ["N", "Se", "Se", "Zr", "La"], "fractional_positions": [[0.0000, 0.0000, 0.5000], [0.0000, 0.5000, 0.0000], [0.5000, 0.0000, 0.0000], [0.5000, 0.5000, 0.5000], [0.0000, 0.0000, 0.0000]], "relative_energy_ev_per_atom": 1.218, "magmom_total_mub_per_fu": 0.00}



[22]
{"formula": "YBP2O", "functional": "GGA-PBE", "state": "optimized geometry", "lattice": [[-0.4532, -4.9400, 2.2287], [3.6273, -1.9382, -3.5584], [3.1090, 0.9188, 2.6688]], "species": ["Y", "P", "P", "B", "O"], "fractional_positions": [[0.0000, 0.0000, 0.0000], [0.0000, 0.5000, 0.0000], [0.5000, 0.0000, 0.0000], [0.5000, 0.5000, 0.5000], [0.0000, 0.0000, 0.5000]], "relative_energy_ev_per_atom": 1.230, "magmom_total_mub_per_fu": 1.60}



[23]
{"formula": "PmY2ScTl4", "functional": "GGA-PBE", "state": "optimized geometry", "lattice": [[-4.9154, -1.6405, -1.2572], [-3.2006, -1.9735, 3.7808], [-5.7975, 6.8459, 2.4258]], "species": ["Pm", "Y", "Y", "Sc", "Tl", "Tl", "Tl", "Tl"], "fractional_positions": [[0.0000, 0.0000, 0.0000], [0.7516, 0.7516, 0.7452], [0.2484, 0.2484, 0.2548], [0.5000, 0.5000, 0.5000], [0.3778, 0.3778, 0.8665], [0.8727, 0.8727, 0.3820], [0.1273, 0.1273, 0.6180], [0.6222, 0.6222, 0.1335]], "ef_ev_per_atom": -0.335, "magmom_total_mub_per_fu": 0.00}



[24]
{"formula": "IrAu", "functional": "GGA-PBE", "state": "optimized geometry", "lattice": [[1.4116, 4.6534, 0.0001], [-1.4116, 4.6534, 0.0001], [0.0000, 3.4449, 7.4383]], "species": ["Ir", "Ir", "Ir", "Au", "Au", "Au"], "fractional_positions": [[0.3341, 0.3341, 0.3567], [0.0000, 0.0000, 0.5000], [0.6659, 0.6659, 0.6433], [0.3294, 0.3294, 0.8250], [0.0000, 0.0000, 0.0000], [0.6706, 0.6706, 0.1750]], "ef_ev_per_atom": 0.256, "relative_energy_ev_per_atom": 0.070, "magmom_total_mub_per_fu": 0.00}